Record 1
Below is a relaxed YBe crystal, with properties calculated at the PBE level.

```
data_YBe
_cell_length_a 5.505
_cell_length_b 5.505
_cell_length_c 5.505
_cell_angle_alpha 90.00
_cell_angle_beta 90.00
_cell_angle_gamma 90.00
_space_group_name_H-M_alt 'P 1'
_space_group_IT_number 1
loop_
_space_group_symop_operation_xyz
'x,y,z'
loop_
_atom_site_label
_atom_site_fract_x
_atom_site_fract_y
_atom_site_fract_z
_atom_site_occupancy
Y1 0.061 0.061 0.061 1
Y2 0.439 0.939 0.561 1
Y3 0.561 0.439 0.939 1
Y4 0.939 0.561 0.439 1
Be1 0.079 0.579 0.921 1
Be2 0.421 0.421 0.421 1
Be3 0.579 0.921 0.079 1
Be4 0.921 0.079 0.579 1
```

Summary:
Its space-group type is No. 198. The value obtained for the density is 3.9 g cm⁻³. The energy of formation from the pure elements comes out at 0.32 eV/atom.

Record 2
Below is a relaxed YBe crystal, with properties calculated at the PBE level.

```
data_YBe
_cell_length_a 4.763
_cell_length_b 4.763
_cell_length_c 5.670
_cell_angle_alpha 90.00
_cell_angle_beta 90.00
_cell_angle_gamma 120.00
_space_group_name_H-M_alt 'P 1'
_space_group_IT_number 1
loop_
_space_group_symop_operation_xyz
'x,y,z'
loop_
_atom_site_label
_atom_site_fract_x
_atom_site_fract_y
_atom_site_fract_z
_atom_site_occupancy
Y1 0.333 0.667 0.250 1
Y2 0.667 0.333 0.750 1
Be1 0.333 0.667 0.750 1
Be2 0.667 0.333 0.250 1
```

Summary:
Its space-group type is No. 194. The value obtained for the density is 2.9 g cm⁻³. The energy of formation from the pure elements comes out at 0.92 eV/atom.

Record 3
Below is a relaxed YBe crystal, with properties calculated at the PBE level.

```
data_YBe
_cell_length_a 4.021
_cell_length_b 6.957
_cell_length_c 12.167
_cell_angle_alpha 90.00
_cell_angle_beta 90.00
_cell_angle_gamma 90.00
_space_group_name_H-M_alt 'P 1'
_space_group_IT_number 1
loop_
_space_group_symop_operation_xyz
'x,y,z'
loop_
_atom_site_label
_atom_site_fract_x
_atom_site_fract_y
_atom_site_fract_z
_atom_site_occupancy
Y1 0.000 0.167 0.113 1
Y2 0.000 0.167 0.387 1
Y3 0.000 0.833 0.613 1
Y4 0.000 0.833 0.887 1
Y5 0.500 0.333 0.613 1
Y6 0.500 0.333 0.887 1
Y7 0.500 0.667 0.113 1
Y8 0.500 0.667 0.387 1
Be1 0.000 0.166 0.750 1
Be2 0.000 0.499 0.750 1
Be3 0.000 0.501 0.250 1
Be4 0.000 0.834 0.250 1
Be5 0.500 0.001 0.250 1
Be6 0.500 0.334 0.250 1
Be7 0.500 0.666 0.750 1
Be8 0.500 0.999 0.750 1
```

Summary:
Its space-group type is No. 63. The value obtained for the density is 3.8 g cm⁻³. The energy of formation from the pure elements comes out at 0.07 eV/atom.

Per-record polymorph energy (0 for the lowest one), eV per atom: 0.275 0.878 0.026